Compound: Li3Dy3PtO8
Source: Alexandria
Functional: PBE
Structure: optimized geometry

The space group is R-3m (No. 166, hexagonal axes) and the conventional cell measures 6.6341, 6.6341 and 14.9474 Å, with angles of 90.00, 90.00 and 120.00 degrees. The distinct sites, in fractional coordinates, are Li at (0.0000, 0.5000, 0.0000), Dy at (0.0000, 0.5000, 0.5000), Pt at (0.0000, 0.0000, 0.5000), O at (0.0000, 0.0000, 0.2436) and O at (0.0288, 0.5144, 0.2439).

The raw formation energy is -2399 meV per atom.